[1]
FeGe2MoW at its PBEsol-relaxed geometry, computed with meta-GGA SCAN.

Unit cell a=4.7595 b=4.7595 c=4.7673 alpha=90.00 beta=90.00 gamma=90.00
Element x y z (fractional)
Ge (0.0000, 0.5000, 0.0000)
Ge (0.5000, 0.0000, 0.0000)
Fe (0.5000, 0.5000, 0.5000)
W (0.0000, 0.0000, 0.0000)
Mo (0.0000, 0.0000, 0.5000)

The total energy is -30.74 eV/atom. The calculation puts the total magnetization at 1.62 μB per formula unit.


[2]
Fe6Ge2N at its PBEsol-relaxed geometry, computed with meta-GGA SCAN.

Unit cell a=3.6702 b=3.6702 c=7.1255 alpha=90.00 beta=90.00 gamma=90.00
Element x y z (fractional)
Fe (0.0000, 0.5000, 0.0000)
Fe (0.0000, 0.0000, 0.2614)
Fe (0.5000, 0.0000, 0.5000)
Fe (0.0000, 0.0000, 0.7386)
Fe (0.5000, 0.0000, 0.0000)
Fe (0.0000, 0.5000, 0.5000)
Ge (0.5000, 0.5000, 0.7435)
Ge (0.5000, 0.5000, 0.2565)
N (0.0000, 0.0000, 0.0000)

The total energy is -17.43 eV/atom. The uncorrected formation energy comes out at -66 meV per atom. The calculation puts the total magnetization at 5.96 μB per formula unit.


[3]
NaFe2GeN at its PBEsol-relaxed geometry, computed with meta-GGA SCAN.

Unit cell a=3.8842 b=4.4690 c=4.4690 alpha=90.00 beta=90.00 gamma=90.00
Element x y z (fractional)
Ge (0.5000, 0.5000, 0.5000)
Fe (0.0000, 0.5000, 0.0000)
Fe (0.0000, 0.0000, 0.5000)
Na (0.0000, 0.0000, 0.0000)
N (0.5000, 0.0000, 0.0000)

The total energy is -11.81 eV/atom. The uncorrected formation energy comes out at 1959 meV per atom. The calculation puts the total magnetization at 6.41 μB per formula unit.